## CuRuI3 (GGA-PBE)

Data for a relaxed structure of CuRuI3.

Lattice parameters (Å, degrees): 5.431 5.431 5.431 90.00 90.00 90.00
Positions (direct):
1 I 0.000 0.500 0.000
2 I 0.000 0.000 0.500
3 I 0.500 0.000 0.000
4 Ru 0.000 0.000 0.000
5 Cu 0.500 0.500 0.500

Spin magnetization: 1.3 μB per cell
SG: Pm-3m, No. 221
VASP energy: -14.53 eV/cell
D(E_F): 5.11 states/eV/f.u.
Uncorrected formation energy: 699.4 meV per atom



## YTaIr (GGA-PBE)

Data for a relaxed structure of YTaIr.

Lattice parameters (Å, degrees): 3.952 3.952 8.564 103.34 103.34 90.00
Positions (direct):
1 Ir 0.122 0.122 0.245
2 Ir 0.878 0.878 0.755
3 Ta 0.000 0.500 0.000
4 Ta 0.500 0.000 0.000
5 Y 0.676 0.676 0.352
6 Y 0.324 0.324 0.648

Spin magnetization: 0.0 μB per cell
SG: I4/mmm, No. 139
VASP energy: -56.83 eV/cell
E_form: -412 meV per atom
D(E_F): 3.30 states/eV/f.u.



Q: Number 2 is which compound?
A: YTaIr